(1)
NpTiMnOs: relaxed, PBE.

Calculated values
As for the density of states at the Fermi level: 6.2 states/eV/cell. The calculation puts the total moment at 2.02 μB per formula unit. The value obtained for the energy of formation from the pure elements is -20 meV per atom. The symmetry is F-43m. Its uncorrected energy is -10.329 eV/atom.

Unit cell a=4.5396 b=4.5396 c=4.5396 alpha=60.00 beta=60.00 gamma=60.00
Fractional positions:
Os 0.0000 0.0000 0.0000
Ti 0.7500 0.7500 0.7500
Mn 0.5000 0.5000 0.5000
Np 0.2500 0.2500 0.2500

(2)
ZrNpMnOs: relaxed, PBE.

Calculated values
As for the density of states at the Fermi level: 6.1 states/eV/cell. The calculation puts the total moment at 1.59 μB per formula unit. The value obtained for the energy of formation from the pure elements is 8 meV per atom. The symmetry is F-43m. Its uncorrected energy is -10.464 eV/atom.

Unit cell a=4.6880 b=4.6880 c=4.6880 alpha=60.00 beta=60.00 gamma=60.00
Fractional positions:
Zr 0.7500 0.7500 0.7500
Np 0.2500 0.2500 0.2500
Os 0.0000 0.0000 0.0000
Mn 0.5000 0.5000 0.5000

(3)
Np4Mn7P6: relaxed, PBE.

Calculated values
As for the density of states at the Fermi level: 18.1 states/eV/cell. The calculation puts the total moment at 6.75 μB per formula unit. The value obtained for the energy of formation from the pure elements is -656 meV per atom. The symmetry is Im-3m. Its uncorrected energy is -9.386 eV/atom.

Unit cell a=6.7901 b=6.7900 c=6.7901 alpha=109.47 beta=109.47 gamma=109.47
Fractional positions:
P 0.6826 0.6826 0.0000
P 0.3174 0.0000 0.3174
P 0.3174 0.3174 0.0000
P 0.0000 0.3174 0.3174
P 0.0000 0.6826 0.6826
P 0.6826 0.0000 0.6826
Mn 0.5000 0.2500 0.7500
Mn 0.5000 0.7500 0.2500
Mn 0.2500 0.7500 0.5000
Mn 0.2500 0.5000 0.7500
Mn 0.0000 0.0000 0.0000
Mn 0.7500 0.2500 0.5000
Mn 0.7500 0.5000 0.2500
Np 0.0000 0.5000 0.0000
Np 0.5000 0.0000 0.0000
Np 0.5000 0.5000 0.5000
Np 0.0000 0.0000 0.5000

(4)
Np2Mn9P6: relaxed, PBE.

Calculated values
As for the density of states at the Fermi level: 28.8 states/eV/cell. The calculation puts the total moment at 12.00 μB per formula unit. The value obtained for the energy of formation from the pure elements is -292 meV per atom. The symmetry is P6/mmm. Its uncorrected energy is -8.579 eV/atom.

Unit cell a=5.1892 b=5.1892 c=10.6372 alpha=90.00 beta=90.00 gamma=120.00
Fractional positions:
Np 0.0000 0.0000 0.3353
Np 0.0000 0.0000 0.6647
Mn 0.5000 0.0000 0.5000
Mn 0.5000 0.0000 0.1635
Mn 0.5000 0.5000 0.1635
Mn 0.0000 0.5000 0.5000
Mn 0.0000 0.5000 0.8365
Mn 0.0000 0.5000 0.1635
Mn 0.5000 0.5000 0.5000
Mn 0.5000 0.0000 0.8365
Mn 0.5000 0.5000 0.8365
P 0.3333 0.6667 0.6688
P 0.3333 0.6667 0.3312
P 0.3333 0.6667 0.0000
P 0.6667 0.3333 0.0000
P 0.6667 0.3333 0.3312
P 0.6667 0.3333 0.6688

(5)
NpMnP2Rh: relaxed, PBE.

Calculated values
As for the density of states at the Fermi level: 11.8 states/eV/cell. The calculation puts the total moment at 3.57 μB per formula unit. The value obtained for the energy of formation from the pure elements is -706 meV per atom. The symmetry is I-4m2. Its uncorrected energy is -8.762 eV/atom.

Unit cell a=3.9154 b=3.9154 c=5.6343 alpha=110.33 beta=110.33 gamma=90.00
Fractional positions:
P 0.6230 0.6230 0.2459
P 0.3770 0.3770 0.7541
Mn 0.7500 0.2500 0.5000
Np 0.0000 0.0000 0.0000
Rh 0.2500 0.7500 0.5000

(6)
NpMnP2Ru2: relaxed, PBE.

Calculated values
As for the density of states at the Fermi level: 14.2 states/eV/cell. The calculation puts the total moment at 1.70 μB per formula unit. The value obtained for the energy of formation from the pure elements is -493 meV per atom. The symmetry is Pmc2_1. Its uncorrected energy is -9.073 eV/atom.

Unit cell a=3.8175 b=5.8885 c=7.9384 alpha=90.00 beta=90.00 gamma=90.00
Fractional positions:
P 0.0000 0.7638 0.1143
P 0.5000 0.2670 0.3187
P 0.5000 0.7670 0.6813
P 0.0000 0.2638 0.8857
Ru 0.0000 0.8726 0.8360
Ru 0.5000 0.5262 0.9225
Ru 0.5000 0.0262 0.0775
Ru 0.0000 0.3726 0.1640
Mn 0.5000 0.1599 0.7177
Mn 0.5000 0.6599 0.2823
Np 0.0000 0.9562 0.4385
Np 0.0000 0.4562 0.5615

(7)
NpMnP2Ru: relaxed, PBE.

Calculated values
As for the density of states at the Fermi level: 13.1 states/eV/cell. The calculation puts the total moment at 3.07 μB per formula unit. The value obtained for the energy of formation from the pure elements is -671 meV per atom. The symmetry is I-4m2. Its uncorrected energy is -9.113 eV/atom.

Unit cell a=3.9676 b=3.9676 c=5.5563 alpha=110.92 beta=110.92 gamma=90.00
Fractional positions:
Np 0.0000 0.0000 0.0000
Mn 0.7500 0.2500 0.5000
Ru 0.2500 0.7500 0.5000
P 0.3730 0.3730 0.7461
P 0.6270 0.6270 0.2539

(8)
NpMn2Si2P: relaxed, PBE.

Calculated values
As for the density of states at the Fermi level: 11.7 states/eV/cell. The calculation puts the total moment at 5.68 μB per formula unit. The symmetry is P4/mmm. Its uncorrected energy is -8.163 eV/atom. The energy relative to the elements, uncorrected comes out at -240 meV per atom.

Unit cell a=4.1580 b=4.1580 c=5.3239 alpha=90.00 beta=90.00 gamma=90.00
Fractional positions:
Si 0.5000 0.5000 0.2753
Si 0.5000 0.5000 0.7247
Mn 0.5000 0.0000 0.0000
Mn 0.0000 0.5000 0.0000
P 0.0000 0.0000 0.0000
Np 0.0000 0.0000 0.5000

Copy entry 4 word for word.
Np2Mn9P6: relaxed, PBE.

Calculated values
As for the density of states at the Fermi level: 28.8 states/eV/cell. The calculation puts the total moment at 12.00 μB per formula unit. The value obtained for the energy of formation from the pure elements is -292 meV per atom. The symmetry is P6/mmm. Its uncorrected energy is -8.579 eV/atom.

Unit cell a=5.1892 b=5.1892 c=10.6372 alpha=90.00 beta=90.00 gamma=120.00
Fractional positions:
Np 0.0000 0.0000 0.3353
Np 0.0000 0.0000 0.6647
Mn 0.5000 0.0000 0.5000
Mn 0.5000 0.0000 0.1635
Mn 0.5000 0.5000 0.1635
Mn 0.0000 0.5000 0.5000
Mn 0.0000 0.5000 0.8365
Mn 0.0000 0.5000 0.1635
Mn 0.5000 0.5000 0.5000
Mn 0.5000 0.0000 0.8365
Mn 0.5000 0.5000 0.8365
P 0.3333 0.6667 0.6688
P 0.3333 0.6667 0.3312
P 0.3333 0.6667 0.0000
P 0.6667 0.3333 0.0000
P 0.6667 0.3333 0.3312
P 0.6667 0.3333 0.6688